Entry A
Here is Dy5Sc2 after structural relaxation from Alexandria. Energies are from PBE.

Properties
M_tot   0.0 μB per formula unit

a b c (Å): 11.248 11.248 3.377
angles (deg): 90.00 90.00 90.00
Space group P4/mbm (No. 127)
Asymmetric unit:
Dy1 0.000 0.500 0.000
Dy2 0.049 0.204 0.000
Sc1 0.189 0.689 0.500

***

Entry B
Here is Dy5Sc2 after structural relaxation from Alexandria. Energies are from PBE.

Properties
M_tot   0.0 μB per formula unit

a b c (Å): 15.266 6.117 8.953
angles (deg): 90.00 96.06 90.00
Space group C2/c (No. 15)
Asymmetric unit:
Dy1 0.000 0.172 0.250
Dy2 0.138 0.171 0.962
Dy3 0.216 0.337 0.322
Sc1 0.070 0.337 0.607

***

The calculated energies rank the structures as follows, beginning with the most stable: entry B, entry A.

***

Entry A
Here is DySc2Se after structural relaxation from Alexandria. Energies are from PBE.

Properties
M_tot   0.1 μB per formula unit

a b c (Å): 3.5486 3.5486 29.0836
angles (deg): 90.00 90.00 120.00
Space group R-3m (No. 166, hexagonal axes)
Asymmetric unit:
Dy1 0.0000 0.0000 0.0000
Sc1 0.0000 0.0000 0.1095
Se1 0.0000 0.0000 0.5000

***

Entry B
Here is DySc2Se after structural relaxation from Alexandria. Energies are from PBE.

Properties
M_tot   0.0 μB per formula unit

a b c (Å): 3.742 11.206 8.810
angles (deg): 90.00 90.00 90.00
Space group Cmcm (No. 63)
Asymmetric unit:
Dy1 0.000 0.058 0.250
Sc1 0.000 0.359 0.044
Se1 0.000 0.235 0.750

***

The calculated energies rank the structures as follows, beginning with the most stable: entry B, entry A.

***

Entry A
Here is DyScSe after structural relaxation from Alexandria. Energies are from PBE.

Properties
M_tot   0.2 μB per formula unit

a b c (Å): 3.7604 3.7604 6.2272
angles (deg): 90.00 90.00 120.00
Space group P3m1 (No. 156)
Asymmetric unit:
Dy1 0.0000 0.0000 0.0000
Sc1 0.3333 0.6667 0.5607
Se1 0.6667 0.3333 0.3011

***

Entry B
Here is DyScSe after structural relaxation from Alexandria. Energies are from PBE.

Properties
M_tot   0.0 μB per formula unit

a b c (Å): 3.545 3.545 11.265
angles (deg): 90.00 90.00 90.00
Space group I4mm (No. 107)
Asymmetric unit:
Dy1 0.000 0.000 0.000
Sc1 0.000 0.000 0.303
Se1 0.000 0.000 0.679

***

The calculated energies rank the structures as follows, beginning with the most stable: entry A, entry B.